Below is crystalline CaCr4Co3O12 at its relaxed geometry, with properties calculated at the PBE with a Hubbard U level.

Results
Uncorrected energy (eV per atom): -6.882
SG: Im-3
Fermi-level density of states (states/eV/f.u.): 7.57

Unit cell a=6.390 b=6.390 c=6.390 alpha=109.47 beta=109.47 gamma=109.47
Fractional coordinates of all 20 atoms:
Ca 0.000 0.000 0.000
Cr 0.500 0.000 0.000
Cr 0.500 0.500 0.500
Cr 0.000 0.500 0.000
Cr 0.000 0.000 0.500
Co 0.000 0.500 0.500
Co 0.500 0.500 0.000
Co 0.500 0.000 0.500
O 0.314 0.827 0.142
O 0.686 0.173 0.858
O 0.686 0.827 0.513
O 0.858 0.686 0.173
O 0.827 0.142 0.314
O 0.173 0.487 0.314
O 0.487 0.314 0.173
O 0.173 0.858 0.686
O 0.314 0.173 0.487
O 0.142 0.314 0.827
O 0.827 0.513 0.686
O 0.513 0.686 0.827